No. 1
TaCdI2N | PBE-GGA | relaxed

Results
As for the raw formation energy: 54 meV/atom. The energy above the most stable polymorph in this dataset comes out at 0 meV per atom.

a b c (Å): 5.7717 5.7717 3.9466
angles (deg): 90.00 90.00 90.00
With the nearest neighbours (Å) after each atom.
Space group P4/mmm (No. 123)
One atom of each set of equivalent atoms:
Ta1 0.0000 0.0000 0.0000 (multiplicity 1)  2 N 1.97
Cd1 0.5000 0.5000 0.5000 (multiplicity 1)  8 I 3.50
I1 0.0000 0.5000 0.0000 (multiplicity 2)  2 Ta 2.89
N1 0.0000 0.0000 0.5000 (multiplicity 1)  2 Ta 1.97

No. 2
CdTcI2N | PBE-GGA | relaxed

Results
As for the raw formation energy: 279 meV/atom. The energy above the most stable polymorph in this dataset comes out at 0 meV per atom.

a b c (Å): 5.6674 5.6674 3.7841
angles (deg): 90.00 90.00 90.00
With the nearest neighbours (Å) after each atom.
Space group P4/mmm (No. 123)
One atom of each set of equivalent atoms:
Cd1 0.0000 0.0000 0.0000 (multiplicity 1)  8 I 3.41, 2 Cd 3.78
Tc1 0.5000 0.5000 0.5000 (multiplicity 1)  2 N 1.89
I1 0.0000 0.5000 0.5000 (multiplicity 2)  2 Tc 2.83
N1 0.5000 0.5000 0.0000 (multiplicity 1)  2 Tc 1.89

No. 3
CdTcI2N | PBE-GGA | relaxed

Results
As for the raw formation energy: 1395 meV/atom. The energy above the most stable polymorph in this dataset comes out at 1116 meV per atom.

a b c (Å): 6.0798 6.0798 4.1311
angles (deg): 90.00 90.00 90.00
With the nearest neighbours (Å) after each atom.
Space group P4/mmm (No. 123)
One atom of each set of equivalent atoms:
Cd1 0.0000 0.0000 0.0000 (multiplicity 1)  2 N 2.07
Tc1 0.5000 0.5000 0.5000 (multiplicity 1)  8 I 3.68
I1 0.0000 0.5000 0.0000 (multiplicity 2)  2 Cd 3.04
N1 0.0000 0.0000 0.5000 (multiplicity 1)  2 Cd 2.07

Which value of raw formation energy does entry 2 give? 279 meV/atom

Which value of raw formation energy does entry 3 give? 1395 meV/atom